w | Computed, not measured: Pu2PaRu after structural relaxation at the PBE level of DFT.

It has space group P4/mmm (No. 123), with a = 3.436 Å, b = 3.436 Å, c = 7.134 Å, α = 90.00°, β = 90.00° and γ = 90.00°. Symmetry generates all atoms from Pu at (0.000, 0.000, 0.223), Pa at (0.500, 0.500, 0.500) and Ru at (0.500, 0.500, 0.000).

As for the volume: 21.1 Å³/atom.

---

x | Computed, not measured: Pu2PaRu after structural relaxation at the PBE level of DFT.

It has space group R-3m (No. 166, hexagonal axes), with a = 4.9101 Å, b = 4.9101 Å, c = 12.0852 Å, α = 90.00°, β = 90.00° and γ = 120.00°. Symmetry generates all atoms from Pu at (0.0000, 0.0000, 0.2499), Pa at (0.0000, 0.0000, 0.0000) and Ru at (0.0000, 0.0000, 0.5000).

As for the volume: 21.0 Å³/atom.

---

The structure with the most favorable energy is w; the runner-up is 0.094 eV/atom above it.

---

w | Computed, not measured: PuPaRu after structural relaxation at the PBE level of DFT.

It has space group F-43m (No. 216), with a = 6.674 Å, b = 6.674 Å, c = 6.674 Å, α = 90.00°, β = 90.00° and γ = 90.00°. Symmetry generates all atoms from Pu at (0.000, 0.000, 0.000), Pa at (0.000, 0.000, 0.500) and Ru at (0.250, 0.250, 0.250).

As for the volume: 24.8 Å³/atom.

---

x | Computed, not measured: PuPaRu after structural relaxation at the PBE level of DFT.

It has space group P3m1 (No. 156), with a = 4.6691 Å, b = 4.6691 Å, c = 3.2069 Å, α = 90.00°, β = 90.00° and γ = 120.00°. Symmetry generates all atoms from Pu at (0.0000, 0.0000, 0.0000), Pa at (0.3333, 0.6667, 0.7011) and Ru at (0.6667, 0.3333, 0.3638).

As for the volume: 20.2 Å³/atom.

---

The structure with the most favorable energy is x; the runner-up is 0.247 eV/atom above it.

---

w | Computed, not measured: PuPaRu after structural relaxation at the PBE level of DFT.

It has space group Amm2 (No. 38), with a = 3.829 Å, b = 3.912 Å, c = 16.886 Å, α = 90.00°, β = 90.00° and γ = 90.00°. Symmetry generates all atoms from Pu at (0.000, 0.000, 0.000), Pu at (0.500, 0.000, 0.486), Pa at (0.500, 0.000, 0.164), Pa at (0.500, 0.000, 0.823), Ru at (0.000, 0.000, 0.339) and Ru at (0.000, 0.000, 0.647).

As for the volume: 21.1 Å³/atom.

---

x | Computed, not measured: PuPaRu after structural relaxation at the PBE level of DFT.

It has space group I4mm (No. 107), with a = 3.474 Å, b = 3.474 Å, c = 10.055 Å, α = 90.00°, β = 90.00° and γ = 90.00°. Symmetry generates all atoms from Pu at (0.000, 0.000, 0.000), Pa at (0.000, 0.000, 0.325) and Ru at (0.000, 0.000, 0.674).

As for the volume: 20.2 Å³/atom.

---

The structure with the most favorable energy is x; the runner-up is 0.117 eV/atom above it.

---

w | Computed, not measured: PuPa2S4 after structural relaxation at the PBE level of DFT.

It has space group Cmcm (No. 63), with a = 3.867 Å, b = 12.892 Å, c = 12.923 Å, α = 90.00°, β = 90.00° and γ = 90.00°. Symmetry generates all atoms from Pu at (0.000, 0.119, 0.250), Pa at (0.000, 0.365, 0.064), S at (0.000, 0.000, 0.000), S at (0.000, 0.272, 0.629) and S at (0.000, 0.462, 0.250).

As for the volume: 23.0 Å³/atom.

---

x | Computed, not measured: PuPa2S4 after structural relaxation at the PBE level of DFT.

It has space group I-42d (No. 122), with a = 8.233 Å, b = 8.233 Å, c = 8.238 Å, α = 90.00°, β = 90.00° and γ = 90.00°. Symmetry generates all atoms from Pu at (0.000, 0.000, 0.000), Pa at (0.124, 0.750, 0.625) and S at (0.077, 0.674, 0.951).

As for the volume: 19.9 Å³/atom.

---

The structure with the most favorable energy is x; the runner-up is 0.074 eV/atom above it.

---

w | Computed, not measured: PuPaS after structural relaxation at the PBE level of DFT.

It has space group P3m1 (No. 156), with a = 3.6644 Å, b = 3.6644 Å, c = 5.1944 Å, α = 90.00°, β = 90.00° and γ = 120.00°. Symmetry generates all atoms from Pu at (0.0000, 0.0000, 0.0000), Pa at (0.6667, 0.3333, 0.2970) and S at (0.3333, 0.6667, 0.6558).

As for the volume: 20.1 Å³/atom.

---

x | Computed, not measured: PuPaS after structural relaxation at the PBE level of DFT.

It has space group Pnma (No. 62), with a = 7.645 Å, b = 3.660 Å, c = 8.417 Å, α = 90.00°, β = 90.00° and γ = 90.00°. Symmetry generates all atoms from Pu at (0.095, 0.250, 0.015), Pa at (0.105, 0.250, 0.310) and S at (0.166, 0.250, 0.645).

As for the volume: 19.6 Å³/atom.

---

The structure with the most favorable energy is x; the runner-up is 0.050 eV/atom above it.

---

w | Computed, not measured: PuPaS3 after structural relaxation at the PBE level of DFT.

It has space group P-6c2 (No. 188), with a = 7.0590 Å, b = 7.0590 Å, c = 7.0281 Å, α = 90.00°, β = 90.00° and γ = 120.00°. Symmetry generates all atoms from Pu at (0.0000, 0.0000, 0.0000), Pa at (0.3333, 0.6667, 0.0000) and S at (0.0858, 0.3399, 0.2500).

As for the volume: 30.3 Å³/atom.

---

x | Computed, not measured: PuPaS3 after structural relaxation at the PBE level of DFT.

It has space group Pnma (No. 62), with a = 7.391 Å, b = 3.919 Å, c = 15.029 Å, α = 90.00°, β = 90.00° and γ = 90.00°. Symmetry generates all atoms from Pu at (0.108, 0.250, 0.210), Pa at (0.244, 0.750, 0.457), S at (0.006, 0.250, 0.398), S at (0.125, 0.750, 0.070) and S at (0.169, 0.250, 0.779).

As for the volume: 21.8 Å³/atom.

---

The structure with the most favorable energy is x; the runner-up is 0.151 eV/atom above it.